# 1
{"formula": "CdInRe", "functional": "GGA-PBE", "state": "optimized geometry", "lattice": [[-1.451, 1.451, 6.927], [1.451, -1.451, 6.927], [1.451, 1.451, -6.927]], "species": ["Cd", "In", "Re"], "frac_coords": [[0.000, 0.000, 0.000], [0.307, 0.307, 0.000], [0.653, 0.653, 0.000]], "total_energy_ry_per_atom": -0.3444, "e_form_kj_per_mol_fu": 197, "magnetic_moment_mub_per_atom": 0.000, "sg": "I4mm (107)"}

# 2
{"formula": "ScCu4Ru", "functional": "GGA-PBE", "state": "optimized geometry", "lattice": [[0.000, 3.443, 3.443], [3.443, 0.000, 3.443], [3.443, 3.443, 0.000]], "species": ["Sc", "Cu", "Cu", "Cu", "Cu", "Ru"], "frac_coords": [[0.000, 0.000, 0.000], [0.127, 0.624, 0.624], [0.624, 0.127, 0.624], [0.624, 0.624, 0.127], [0.624, 0.624, 0.624], [0.250, 0.250, 0.250]], "total_energy_ry_per_atom": -0.3996, "e_form_kj_per_mol_fu": -60, "magnetic_moment_mub_per_atom": 0.000, "sg": "F-43m (216)"}

# 3
{"formula": "PuAl2Bi", "functional": "GGA-PBE", "state": "optimized geometry", "lattice": [[4.485, 0.000, 0.000], [0.000, 4.485, 0.000], [0.000, 0.000, 4.529]], "species": ["Pu", "Al", "Al", "Bi"], "frac_coords": [[0.000, 0.000, 0.000], [0.000, 0.500, 0.500], [0.500, 0.000, 0.500], [0.500, 0.500, 0.000]], "total_energy_ry_per_atom": -0.4854, "e_form_kj_per_mol_fu": -69, "magnetic_moment_mub_per_atom": 1.360, "sg": "P4/mmm (123)"}

# 4
{"formula": "Na3AlV", "functional": "GGA-PBE", "state": "optimized geometry", "lattice": [[5.647, 0.000, 0.000], [0.000, 5.647, 0.000], [0.000, 0.000, 5.647]], "species": ["Na", "Na", "Na", "Al", "V"], "frac_coords": [[0.000, 0.000, 0.500], [0.000, 0.500, 0.000], [0.500, 0.000, 0.000], [0.500, 0.500, 0.500], [0.000, 0.000, 0.000]], "total_energy_ry_per_atom": -0.1613, "e_form_kj_per_mol_fu": 564, "magnetic_moment_mub_per_atom": 0.927, "sg": "Pm-3m (221)"}

# 5
{"formula": "NaTlP3", "functional": "GGA-PBE", "state": "optimized geometry", "lattice": [[5.237, 0.000, 0.000], [0.000, 5.237, 0.000], [0.000, 0.000, 5.237]], "species": ["Na", "Tl", "P", "P", "P"], "frac_coords": [[0.000, 0.000, 0.000], [0.500, 0.500, 0.500], [0.000, 0.500, 0.500], [0.500, 0.000, 0.500], [0.500, 0.500, 0.000]], "total_energy_ry_per_atom": -0.2148, "e_form_kj_per_mol_fu": 512, "magnetic_moment_mub_per_atom": 0.217, "sg": "Pm-3m (221)"}

# 6
{"formula": "LiSmDy2Tl4", "functional": "GGA-PBE", "state": "optimized geometry", "lattice": [[2.628, 1.517, 8.890], [-2.628, 1.517, 8.890], [0.000, -3.035, 8.890]], "species": ["Li", "Sm", "Dy", "Dy", "Tl", "Tl", "Tl", "Tl"], "frac_coords": [[0.000, 0.000, 0.000], [0.500, 0.500, 0.500], [0.255, 0.255, 0.255], [0.745, 0.745, 0.745], [0.122, 0.122, 0.122], [0.372, 0.372, 0.372], [0.628, 0.628, 0.628], [0.878, 0.878, 0.878]], "total_energy_ry_per_atom": -0.2568, "e_form_kj_per_mol_fu": -256, "magnetic_moment_mub_per_atom": 0.000, "sg": "R-3m (166)"}

# 7
{"formula": "YFeNiB2", "functional": "GGA-PBE", "state": "optimized geometry", "lattice": [[3.842, 0.000, 0.000], [0.000, 3.842, 0.000], [0.000, 0.000, 4.449]], "species": ["Y", "Fe", "Ni", "B", "B"], "frac_coords": [[0.000, 0.000, 0.000], [0.500, 0.500, 0.500], [0.500, 0.500, 0.000], [0.000, 0.500, 0.500], [0.500, 0.000, 0.500]], "total_energy_ry_per_atom": -0.4932, "e_form_kj_per_mol_fu": 49, "magnetic_moment_mub_per_atom": 0.181, "sg": "P4/mmm (123)"}

# 8
{"formula": "Be2Co5B", "functional": "GGA-PBE", "state": "optimized geometry", "lattice": [[4.632, 0.000, 0.000], [0.000, 8.746, 0.000], [0.000, 0.000, 3.577]], "species": ["Be", "Be", "Be", "Be", "Co", "Co", "Co", "Co", "Co", "Co", "Co", "Co", "Co", "Co", "B", "B"], "frac_coords": [[0.134, 0.139, 0.000], [0.366, 0.639, 0.000], [0.634, 0.361, 0.000], [0.866, 0.861, 0.000], [0.000, 0.000, 0.500], [0.124, 0.726, 0.500], [0.160, 0.397, 0.000], [0.340, 0.897, 0.000], [0.376, 0.226, 0.500], [0.500, 0.500, 0.500], [0.624, 0.774, 0.500], [0.660, 0.103, 0.000], [0.840, 0.603, 0.000], [0.876, 0.274, 0.500], [0.000, 0.500, 0.500], [0.500, 0.000, 0.500]], "total_energy_ry_per_atom": -0.4681, "e_form_kj_per_mol_fu": -125, "magnetic_moment_mub_per_atom": 0.550, "sg": "Pbam (55)"}